DFT (PBE) results for crystalline ZnP2W2 at its relaxed geometry.

Unit cell a=4.251 b=4.251 c=5.368 alpha=66.68 beta=66.68 gamma=90.00
Fractional positions:
Zn 0.000 0.000 0.000
W 0.250 0.750 0.500
P 0.377 0.377 0.247
P 0.623 0.623 0.753
W 0.750 0.250 0.500

Summary:
space group = I4/mmm, No. 139
volume = 16.07 Å³ per atom
energy = -7.59 eV/atom
distance to the lowest polymorph of the same formula = 0.0000 eV/atom
total magnetization = 0.000 μB/atom


DFT (PBE) results for crystalline LaMn2Pb at its relaxed geometry.

Unit cell a=5.893 b=5.906 c=3.282 alpha=85.04 beta=76.40 gamma=118.49
Fractional positions:
Pb 0.500 0.500 0.000
Mn 0.000 0.000 0.000
La 0.500 0.000 0.500
Mn 0.000 0.500 0.500

Summary:
space group = C2/m, No. 12
volume = 23.72 Å³ per atom
energy = -6.28 eV/atom
total magnetization = 1.753 μB/atom


DFT (PBE) results for crystalline PaMnPd at its relaxed geometry.

Unit cell a=4.212 b=4.212 c=7.527 alpha=73.75 beta=73.75 gamma=60.00
Fractional positions:
Pa 0.777 0.777 0.670
Mn 0.087 0.087 0.739
Pd 0.637 0.637 0.090
Mn 0.913 0.913 0.261
Pa 0.223 0.223 0.330
Pd 0.363 0.363 0.910

Summary:
space group = R-3m, No. 166
volume = 18.24 Å³ per atom
energy = -7.97 eV/atom
distance to the lowest polymorph of the same formula = 0.0605 eV/atom
total magnetization = 0.000 μB/atom


DFT (PBE) results for crystalline NaNbHg at its relaxed geometry.

Unit cell a=3.370 b=7.930 c=5.002 alpha=89.77 beta=90.00 gamma=102.33
Fractional positions:
Hg 0.126 0.960 0.493
Na 0.291 0.290 0.033
Nb 0.977 0.663 0.995
Nb 0.604 0.917 0.993
Hg 0.455 0.619 0.495
Na 0.791 0.290 0.533

Summary:
space group = P1, No. 1
volume = 21.76 Å³ per atom
energy = -3.64 eV/atom
distance to the lowest polymorph of the same formula = 0.1585 eV/atom
total magnetization = 0.000 μB/atom


DFT (PBE) results for crystalline La2HfTaC at its relaxed geometry.

Unit cell a=5.215 b=4.390 c=5.215 alpha=90.00 beta=90.00 gamma=90.00
Fractional positions:
C 0.000 0.000 0.000
La 0.500 0.000 0.000
La 0.000 0.000 0.500
Hf 0.000 0.500 0.000
Ta 0.500 0.500 0.500

Summary:
space group = P4/mmm, No. 123
volume = 23.88 Å³ per atom
energy = -7.81 eV/atom
total magnetization = 0.000 μB/atom


DFT (PBE) results for crystalline Ca2AgHAu at its relaxed geometry.

Unit cell a=5.103 b=5.103 c=3.856 alpha=90.00 beta=90.00 gamma=90.00
Fractional positions:
Ca 0.000 0.500 0.000
Ca 0.500 0.000 0.000
Ag 0.500 0.500 0.500
Au 0.000 0.000 0.500
H 0.000 0.000 0.000

Summary:
space group = P4/mmm, No. 123
volume = 20.08 Å³ per atom
energy = -3.15 eV/atom
distance to the lowest polymorph of the same formula = 0.0173 eV/atom
total magnetization = 0.000 μB/atom